# CsNbTl2S4, optimized geometry, DFT PBE-GGA
data_CsNbTl2S4
_chemical_formula_sum 'Cs2 Nb2 Tl4 S8'
_cell_length_a 6.642
_cell_length_b 7.111
_cell_length_c 12.164
_cell_angle_alpha 90.00
_cell_angle_beta 90.00
_cell_angle_gamma 90.00
_symmetry_space_group_name_H-M 'P 1'
_symmetry_Int_Tables_number 1
loop_
_symmetry_equiv_pos_as_xyz
'x,y,z'
loop_
_atom_site_label
_atom_site_type_symbol
_atom_site_fract_x
_atom_site_fract_y
_atom_site_fract_z
Cs1 Cs 0.972 0.401 0.500
Cs2 Cs 0.472 0.599 0.000
Nb1 Nb 0.540 0.936 0.500
Nb2 Nb 0.040 0.064 0.000
Tl1 Tl 0.384 0.199 0.244
Tl2 Tl 0.384 0.199 0.756
Tl3 Tl 0.884 0.801 0.744
Tl4 Tl 0.884 0.801 0.256
S1 S 0.383 0.092 0.000
S2 S 0.883 0.908 0.500
S3 S 0.475 0.251 0.500
S4 S 0.975 0.749 0.000
S5 S 0.430 0.812 0.666
S6 S 0.930 0.188 0.166
S7 S 0.930 0.188 0.834
S8 S 0.430 0.812 0.334
# space-group type: Pmn2_1
# magnetic moment: 0.0 μB/f.u.
# calculated total energy: -0.3583 Ry/atom

# PPtSe2, optimized geometry, DFT PBE-GGA
data_PPtSe2
_chemical_formula_sum 'P1 Pt1 Se2'
_cell_length_a 4.607
_cell_length_b 4.607
_cell_length_c 4.607
_cell_angle_alpha 60.00
_cell_angle_beta 60.00
_cell_angle_gamma 60.00
_symmetry_space_group_name_H-M 'P 1'
_symmetry_Int_Tables_number 1
loop_
_symmetry_equiv_pos_as_xyz
'x,y,z'
loop_
_atom_site_label
_atom_site_type_symbol
_atom_site_fract_x
_atom_site_fract_y
_atom_site_fract_z
P1 P 0.500 0.500 0.500
Pt1 Pt 0.250 0.250 0.250
Se1 Se 0.000 0.000 0.000
Se2 Se 0.750 0.750 0.750
# space-group type: F-43m
# magnetic moment: 0.0 μB/f.u.
# calculated total energy: -0.2959 Ry/atom

The evaluated formation energy without anion corrections for the records listed, in turn: -0.854, 0.579 eV/atom.
The evaluated Fermi-level density of states for the records listed, in turn: 0.000, 2.721 states/eV/cell.